Record 1
A plane-wave DFT calculation with PBE was carried out for a relaxed LiZrFeGe crystal.

abc: 6.1036 6.1036 6.1036
angles: 90.00 90.00 90.00
Closest atoms and distances in Å follow each position.
Space group F-43m (No. 216)
Unique sites:
Li 0.0000 0.0000 0.0000  4 Zr 2.64, 4 Ge 2.64
Zr 0.2500 0.2500 0.7500  4 Fe 2.64, 4 Li 2.64
Fe 0.0000 0.0000 0.5000  4 Ge 2.64, 4 Zr 2.64
Ge 0.2500 0.2500 0.2500  4 Fe 2.64, 4 Li 2.64

## Properties
The energy relative to the lowest polymorph listed for this composition is 0 meV/atom. For the total energy, the calculation gives -0.455 Ry/atom.

---

Record 2
A plane-wave DFT calculation with PBE was carried out for a relaxed LuFe4Ge6 crystal.

abc: 6.2062 6.2062 8.7478
angles: 90.00 90.00 90.00
Closest atoms and distances in Å follow each position.
Space group I-42m (No. 121)
Unique sites:
Lu 0.0000 0.0000 0.0000  4 Fe 3.02, 12 Ge 3.03-3.33
Fe 0.1664 0.1664 0.4178  6 Ge 2.29-2.52, 2 Fe 2.52
Ge 0.0000 0.5000 0.0000  4 Fe 2.42
Ge 0.1809 0.1809 0.7056  4 Fe 2.29-2.52

## Properties
For the total energy, the calculation gives -0.460 Ry/atom.

---

Record 3
A plane-wave DFT calculation with PBE was carried out for a relaxed LuFe4Ge2 crystal.

abc: 7.1153 7.1153 3.8251
angles: 90.00 90.00 90.00
Closest atoms and distances in Å follow each position.
Space group P4_2/mnm (No. 136)
Unique sites:
Lu 0.0000 0.0000 0.0000  6 Ge 2.85-2.90, 4 Fe 3.10
Fe 0.0878 0.3598 0.5000  5 Fe 2.35-2.54, 3 Ge 2.39-2.43
Ge 0.2169 0.7831 0.5000  6 Fe 2.39-2.43

## Properties
For the total energy, the calculation gives -0.516 Ry/atom.

---

Record 4
A plane-wave DFT calculation with PBE was carried out for a relaxed LuMgFeGe crystal.

abc: 6.5706 6.5706 6.5706
angles: 90.00 90.00 90.00
Closest atoms and distances in Å follow each position.
Space group F-43m (No. 216)
Unique sites:
Lu 0.0000 0.0000 0.0000  4 Ge 2.85, 4 Mg 2.85
Mg 0.2500 0.2500 0.7500  4 Lu 2.85, 4 Fe 2.85
Fe 0.0000 0.0000 0.5000  4 Mg 2.85, 4 Ge 2.85
Ge 0.2500 0.2500 0.2500  4 Fe 2.85, 4 Lu 2.85

## Properties
The energy relative to the lowest polymorph listed for this composition is 0 meV/atom. For the total energy, the calculation gives -0.348 Ry/atom.

---

Record 5
A plane-wave DFT calculation with PBE was carried out for a relaxed LuMgFeGe crystal.

abc: 6.4000 6.4000 6.4000
angles: 90.00 90.00 90.00
Closest atoms and distances in Å follow each position.
Space group F-43m (No. 216)
Unique sites:
Lu 0.0000 0.0000 0.0000  4 Fe 2.77, 4 Mg 2.77
Mg 0.2500 0.2500 0.2500  4 Ge 2.77, 4 Lu 2.77
Fe 0.2500 0.2500 0.7500  4 Lu 2.77, 4 Ge 2.77
Ge 0.0000 0.0000 0.5000  4 Fe 2.77, 4 Mg 2.77

## Properties
The energy relative to the lowest polymorph listed for this composition is 26 meV/atom. For the total energy, the calculation gives -0.347 Ry/atom.

---

Record 6
A plane-wave DFT calculation with PBE was carried out for a relaxed LuFeGeMo crystal.

abc: 6.4403 6.4403 6.4403
angles: 90.00 90.00 90.00
Closest atoms and distances in Å follow each position.
Space group F-43m (No. 216)
Unique sites:
Lu 0.0000 0.0000 0.0000  4 Mo 2.79, 4 Ge 2.79
Fe 0.0000 0.0000 0.5000  4 Ge 2.79, 4 Mo 2.79
Ge 0.2500 0.2500 0.2500  4 Lu 2.79, 4 Fe 2.79
Mo 0.2500 0.2500 0.7500  4 Fe 2.79, 4 Lu 2.79

## Properties
The energy relative to the lowest polymorph listed for this composition is 126 meV/atom. For the total energy, the calculation gives -0.497 Ry/atom.

---

Record 7
A plane-wave DFT calculation with PBE was carried out for a relaxed LuFeGeMo crystal.

abc: 6.3607 6.3607 6.3607
angles: 90.00 90.00 90.00
Closest atoms and distances in Å follow each position.
Space group F-43m (No. 216)
Unique sites:
Lu 0.0000 0.0000 0.0000  4 Mo 2.75, 4 Fe 2.75
Fe 0.2500 0.2500 0.7500  4 Ge 2.75, 4 Lu 2.75
Ge 0.0000 0.0000 0.5000  4 Fe 2.75, 4 Mo 2.75
Mo 0.2500 0.2500 0.2500  4 Ge 2.75, 4 Lu 2.75

## Properties
The energy relative to the lowest polymorph listed for this composition is 0 meV/atom. For the total energy, the calculation gives -0.506 Ry/atom.

---

Record 8
A plane-wave DFT calculation with PBE was carried out for a relaxed LuNbFeGe crystal.

abc: 6.4164 6.4164 6.4164
angles: 90.00 90.00 90.00
Closest atoms and distances in Å follow each position.
Space group F-43m (No. 216)
Unique sites:
Lu 0.0000 0.0000 0.0000  4 Nb 2.78, 4 Fe 2.78
Nb 0.2500 0.2500 0.2500  4 Ge 2.78, 4 Lu 2.78
Fe 0.2500 0.2500 0.7500  4 Lu 2.78, 4 Ge 2.78
Ge 0.0000 0.0000 0.5000  4 Fe 2.78, 4 Nb 2.78

## Properties
The energy relative to the lowest polymorph listed for this composition is 0 meV/atom. For the total energy, the calculation gives -0.492 Ry/atom.

---

Record 9
A plane-wave DFT calculation with PBE was carried out for a relaxed LuFeNiGe crystal.

abc: 6.1425 6.1425 6.1425
angles: 90.00 90.00 90.00
Closest atoms and distances in Å follow each position.
Space group F-43m (No. 216)
Unique sites:
Lu 0.0000 0.0000 0.0000  4 Fe 2.66, 4 Ni 2.66
Fe 0.2500 0.2500 0.7500  4 Ge 2.66, 4 Lu 2.66
Ni 0.2500 0.2500 0.2500  4 Ge 2.66, 4 Lu 2.66
Ge 0.0000 0.0000 0.5000  4 Ni 2.66, 4 Fe 2.66

## Properties
The energy relative to the lowest polymorph listed for this composition is 0 meV/atom. For the total energy, the calculation gives -0.442 Ry/atom.

---

Record 10
A plane-wave DFT calculation with PBE was carried out for a relaxed LuFeNiGe crystal.

abc: 6.3443 6.3443 6.3443
angles: 90.00 90.00 90.00
Closest atoms and distances in Å follow each position.
Space group F-43m (No. 216)
Unique sites:
Lu 0.0000 0.0000 0.0000  4 Ge 2.75, 4 Fe 2.75
Fe 0.2500 0.2500 0.7500  4 Ni 2.75, 4 Lu 2.75
Ni 0.0000 0.0000 0.5000  4 Ge 2.75, 4 Fe 2.75
Ge 0.2500 0.2500 0.2500  4 Ni 2.75, 4 Lu 2.75

## Properties
The energy relative to the lowest polymorph listed for this composition is 236 meV/atom. For the total energy, the calculation gives -0.425 Ry/atom.

---

Record 11
A plane-wave DFT calculation with PBE was carried out for a relaxed LuFeNiGe crystal.

abc: 6.3294 6.3294 6.3294
angles: 90.00 90.00 90.00
Closest atoms and distances in Å follow each position.
Space group F-43m (No. 216)
Unique sites:
Lu 0.0000 0.0000 0.0000  4 Ge 2.74, 4 Ni 2.74
Fe 0.0000 0.0000 0.5000  4 Ge 2.74, 4 Ni 2.74
Ni 0.2500 0.2500 0.7500  4 Fe 2.74, 4 Lu 2.74
Ge 0.2500 0.2500 0.2500  4 Fe 2.74, 4 Lu 2.74

## Properties
The energy relative to the lowest polymorph listed for this composition is 115 meV/atom. For the total energy, the calculation gives -0.433 Ry/atom.

---

Record 12
A plane-wave DFT calculation with PBE was carried out for a relaxed LuFeGePd crystal.

abc: 6.5103 6.5103 6.5103
angles: 90.00 90.00 90.00
Closest atoms and distances in Å follow each position.
Space group F-43m (No. 216)
Unique sites:
Lu 0.0000 0.0000 0.0000  4 Ge 2.82, 4 Pd 2.82
Fe 0.0000 0.0000 0.5000  4 Ge 2.82, 4 Pd 2.82
Ge 0.2500 0.2500 0.2500  4 Fe 2.82, 4 Lu 2.82
Pd 0.2500 0.2500 0.7500  4 Fe 2.82, 4 Lu 2.82

## Properties
The energy relative to the lowest polymorph listed for this composition is 46 meV/atom. For the total energy, the calculation gives -0.439 Ry/atom.

---

Record 13
A plane-wave DFT calculation with PBE was carried out for a relaxed LuFeGePd crystal.

abc: 6.3680 6.3680 6.3680
angles: 90.00 90.00 90.00
Closest atoms and distances in Å follow each position.
Space group F-43m (No. 216)
Unique sites:
Lu 0.0000 0.0000 0.0000  4 Fe 2.76, 4 Pd 2.76
Fe 0.2500 0.2500 0.7500  4 Ge 2.76, 4 Lu 2.76
Ge 0.0000 0.0000 0.5000  4 Fe 2.76, 4 Pd 2.76
Pd 0.2500 0.2500 0.2500  4 Ge 2.76, 4 Lu 2.76

## Properties
The energy relative to the lowest polymorph listed for this composition is 0 meV/atom. For the total energy, the calculation gives -0.442 Ry/atom.

---

Record 14
A plane-wave DFT calculation with PBE was carried out for a relaxed LuFeGePt crystal.

abc: 6.5163 6.5163 6.5163
angles: 90.00 90.00 90.00
Closest atoms and distances in Å follow each position.
Space group F-43m (No. 216)
Unique sites:
Lu 0.0000 0.0000 0.0000  4 Ge 2.82, 4 Pt 2.82
Fe 0.0000 0.0000 0.5000  4 Pt 2.82, 4 Ge 2.82
Ge 0.2500 0.2500 0.2500  4 Fe 2.82, 4 Lu 2.82
Pt 0.2500 0.2500 0.7500  4 Fe 2.82, 4 Lu 2.82

## Properties
The energy relative to the lowest polymorph listed for this composition is 43 meV/atom. For the total energy, the calculation gives -0.459 Ry/atom.

---

Record 15
A plane-wave DFT calculation with PBE was carried out for a relaxed LuFeGePt crystal.

abc: 6.3919 6.3919 6.3919
angles: 90.00 90.00 90.00
Closest atoms and distances in Å follow each position.
Space group F-43m (No. 216)
Unique sites:
Lu 0.0000 0.0000 0.0000  4 Fe 2.77, 4 Pt 2.77
Fe 0.2500 0.2500 0.7500  4 Ge 2.77, 4 Lu 2.77
Ge 0.0000 0.0000 0.5000  4 Fe 2.77, 4 Pt 2.77
Pt 0.2500 0.2500 0.2500  4 Ge 2.77, 4 Lu 2.77

## Properties
The energy relative to the lowest polymorph listed for this composition is 0 meV/atom. For the total energy, the calculation gives -0.462 Ry/atom.

---

Record 16
A plane-wave DFT calculation with PBE was carried out for a relaxed LuScFeSiGe crystal.

abc: 10.1903 4.0621 9.6074
angles: 90.00 118.08 90.00
Closest atoms and distances in Å follow each position.
Space group C2/m (No. 12)
Unique sites:
Lu 0.1875 0.0000 0.1072  1 Ge 2.78, 5 Si 2.90-3.04, 2 Fe 3.10
Sc 0.0041 0.0000 0.3287  2 Si 2.77, 4 Ge 2.88-3.00, 4 Fe 2.92-3.04
Fe 0.2247 0.5000 0.3675  3 Ge 2.34-2.38, 1 Si 2.38
Si 0.0047 0.5000 0.8713  1 Fe 2.38, 1 Si 2.52
Ge 0.1464 0.5000 0.5653  3 Fe 2.34-2.38

## Properties
The energy relative to the lowest polymorph listed for this composition is 83 meV/atom. For the total energy, the calculation gives -0.479 Ry/atom.

---

Record 17
A plane-wave DFT calculation with PBE was carried out for a relaxed LuScFeSiGe crystal.

abc: 10.1677 4.1045 9.6852
angles: 90.00 119.14 90.00
Closest atoms and distances in Å follow each position.
Space group C2/m (No. 12)
Unique sites:
Lu 0.0020 0.0000 0.1767  2 Si 2.82, 4 Fe 2.94-3.03, 4 Ge 2.97-3.02
Sc 0.1797 0.0000 0.6041  1 Ge 2.75, 4 Si 2.86-2.89
Fe 0.2215 0.5000 0.8658  3 Ge 2.34-2.41, 1 Si 2.38
Si 0.0073 0.5000 0.3784  1 Fe 2.38, 1 Si 2.43
Ge 0.1529 0.5000 0.0717  3 Fe 2.34-2.41

## Properties
The energy relative to the lowest polymorph listed for this composition is 88 meV/atom. For the total energy, the calculation gives -0.479 Ry/atom.

---

Record 18
A plane-wave DFT calculation with PBE was carried out for a relaxed LuScFeSiGe crystal.

abc: 10.1259 4.0178 9.7049
angles: 90.00 118.12 90.00
Closest atoms and distances in Å follow each position.
Space group C2/m (No. 12)
Unique sites:
Lu 0.1885 0.0000 0.1150  1 Si 2.78, 5 Ge 2.92-3.00, 2 Fe 3.11
Sc 0.0022 0.0000 0.3364  2 Ge 2.77, 4 Fe 2.80-2.97, 4 Si 2.81-2.94
Fe 0.2339 0.5000 0.3789  3 Si 2.28-2.33, 1 Ge 2.50
Si 0.1449 0.5000 0.5609  3 Fe 2.28-2.33
Ge 0.0116 0.5000 0.8664  1 Fe 2.50, 1 Ge 2.71, 2 Sc 2.77

## Properties
The energy relative to the lowest polymorph listed for this composition is 0 meV/atom. For the total energy, the calculation gives -0.485 Ry/atom.

---

Record 19
A plane-wave DFT calculation with PBE was carried out for a relaxed LuScFeSiGe crystal.

abc: 10.0876 4.0563 9.7654
angles: 90.00 119.16 90.00
Closest atoms and distances in Å follow each position.
Space group C2/m (No. 12)
Unique sites:
Lu 0.0039 0.0000 0.1713  2 Ge 2.81, 4 Fe 2.86-2.97, 4 Si 2.90-2.98
Sc 0.1830 0.0000 0.6117  1 Si 2.74, 5 Ge 2.89-2.99
Fe 0.2298 0.5000 0.8766  3 Si 2.28-2.34, 1 Ge 2.50
Si 0.1520 0.5000 0.0670  3 Fe 2.28-2.34
Ge 0.0148 0.5000 0.3764  1 Fe 2.50, 1 Ge 2.57

## Properties
The energy relative to the lowest polymorph listed for this composition is 14 meV/atom. For the total energy, the calculation gives -0.484 Ry/atom.

---

Record 20
A plane-wave DFT calculation with PBE was carried out for a relaxed LuFe6Sn4Ge2 crystal.

abc: 5.3030 5.3030 8.7750
angles: 90.00 90.00 120.00
Closest atoms and distances in Å follow each position.
Space group P6/mmm (No. 191)
Unique sites:
Lu 0.0000 0.0000 0.0000  2 Ge 2.96, 6 Sn 3.06
Fe 0.0000 0.5000 0.2493  4 Fe 2.65, 4 Sn 2.67-2.68, 2 Ge 2.76
Sn 0.3333 0.6667 0.0000  6 Fe 2.67
Sn 0.3333 0.6667 0.5000  6 Fe 2.68
Ge 0.0000 0.0000 0.3374  6 Fe 2.76, 1 Ge 2.85, 1 Lu 2.96

## Properties
The energy relative to the lowest polymorph listed for this composition is 94 meV/atom. For the total energy, the calculation gives -0.457 Ry/atom.

---

Record 21
A plane-wave DFT calculation with PBE was carried out for a relaxed LuFe6Sn4Ge2 crystal.

abc: 5.3333 5.3333 8.6191
angles: 90.00 90.00 120.00
Closest atoms and distances in Å follow each position.
Space group P6/mmm (No. 191)
Unique sites:
Lu 0.0000 0.0000 0.0000  8 Sn 2.93-3.08
Fe 0.0000 0.5000 0.2594  2 Ge 2.58, 4 Fe 2.67, 4 Sn 2.71-2.76
Sn 0.0000 0.0000 0.3400  6 Fe 2.76, 1 Sn 2.76, 1 Lu 2.93
Sn 0.3333 0.6667 0.0000  6 Fe 2.71
Ge 0.3333 0.6667 0.5000  6 Fe 2.58

## Properties
The energy relative to the lowest polymorph listed for this composition is 73 meV/atom. For the total energy, the calculation gives -0.459 Ry/atom.

---

Record 22
A plane-wave DFT calculation with PBE was carried out for a relaxed LuFe6Sn2Ge4 crystal.

abc: 5.1921 5.1921 8.4108
angles: 90.00 90.00 120.00
Closest atoms and distances in Å follow each position.
Space group P6/mmm (No. 191)
Unique sites:
Lu 0.0000 0.0000 0.0000  2 Sn 2.85, 6 Ge 3.00
Fe 0.0000 0.5000 0.2430  4 Ge 2.53-2.63, 4 Fe 2.60, 2 Sn 2.72
Sn 0.0000 0.0000 0.3392  1 Sn 2.71, 6 Fe 2.72, 1 Lu 2.85
Ge 0.3333 0.6667 0.0000  6 Fe 2.53
Ge 0.3333 0.6667 0.5000  6 Fe 2.63

## Properties
The energy relative to the lowest polymorph listed for this composition is 14 meV/atom. For the total energy, the calculation gives -0.472 Ry/atom.

---

Record 23
A plane-wave DFT calculation with PBE was carried out for a relaxed LuFe6Sn4Ge2 crystal.

abc: 5.2717 5.2717 8.6860
angles: 90.00 90.00 120.00
Closest atoms and distances in Å follow each position.
Space group P6/mmm (No. 191)
Unique sites:
Lu 0.0000 0.0000 0.0000  2 Sn 2.91, 6 Ge 3.04
Fe 0.0000 0.5000 0.2311  2 Ge 2.52, 4 Fe 2.64, 4 Sn 2.79
Sn 0.0000 0.0000 0.3347  6 Fe 2.79, 1 Sn 2.87, 1 Lu 2.91
Sn 0.3333 0.6667 0.5000  6 Fe 2.79, 3 Sn 3.04
Ge 0.3333 0.6667 0.0000  6 Fe 2.52

## Properties
The energy relative to the lowest polymorph listed for this composition is 0 meV/atom. For the total energy, the calculation gives -0.464 Ry/atom.

---

Record 24
A plane-wave DFT calculation with PBE was carried out for a relaxed LuFe6Sn2Ge4 crystal.

abc: 5.2308 5.2308 8.3745
angles: 90.00 90.00 120.00
Closest atoms and distances in Å follow each position.
Space group P6/mmm (No. 191)
Unique sites:
Lu 0.0000 0.0000 0.0000  2 Ge 2.90, 6 Sn 3.02
Fe 0.0000 0.5000 0.2635  4 Ge 2.49-2.71, 4 Fe 2.62, 2 Sn 2.67
Sn 0.3333 0.6667 0.0000  6 Fe 2.67
Ge 0.0000 0.0000 0.3465  1 Ge 2.57, 6 Fe 2.71
Ge 0.3333 0.6667 0.5000  6 Fe 2.49

## Properties
The energy relative to the lowest polymorph listed for this composition is 68 meV/atom. For the total energy, the calculation gives -0.468 Ry/atom.

---

Record 25
A plane-wave DFT calculation with PBE was carried out for a relaxed LuFe6Sn2Ge4 crystal.

abc: 5.1666 5.1666 8.4601
angles: 90.00 90.00 120.00
Closest atoms and distances in Å follow each position.
Space group P6/mmm (No. 191)
Unique sites:
Lu 0.0000 0.0000 0.0000  8 Ge 2.86-2.98
Fe 0.0000 0.5000 0.2358  4 Ge 2.49-2.72, 4 Fe 2.58, 2 Sn 2.69
Sn 0.3333 0.6667 0.5000  6 Fe 2.69, 3 Sn 2.98
Ge 0.0000 0.0000 0.3376  6 Fe 2.72, 1 Ge 2.75, 1 Lu 2.86
Ge 0.3333 0.6667 0.0000  6 Fe 2.49

## Properties
The energy relative to the lowest polymorph listed for this composition is 0 meV/atom. For the total energy, the calculation gives -0.473 Ry/atom.